BaVS2O8, relaxed, DFT PBE+U; uncorrected energy = -6.672 eV/atom; space-group type = R-3, No. 148
1.0
4.9987 0.0000 0.0000
2.4994 4.3290 0.0000
2.4994 1.4430 7.5674
O S Ba V
8 2 1 1
Direct
0.9997 0.5669 0.1738
0.5669 0.2595 0.1738
0.7405 0.0003 0.8262
0.1895 0.1895 0.4316
0.4331 0.7405 0.8262
0.8105 0.8105 0.5684
0.2595 0.9997 0.1738
0.0003 0.4331 0.8262
0.2555 0.2555 0.2334
0.7445 0.7445 0.7666
0.5000 0.5000 0.5000
0.0000 0.0000 0.0000